1.
Crystalline Pm2SmDyTm6 at its relaxed geometry. Source: the Alexandria database, functional GGA-PBE.

It has space group C2/c (No. 15), with a = 8.963 Å, b = 14.941 Å, c = 9.600 Å, α = 90.00°, β = 98.74° and γ = 90.00°. The asymmetric unit holds Pm at (0.245, 0.052, 0.043), Sm at (0.000, 0.019, 0.750), Dy at (0.000, 0.407, 0.250), Tm at (0.067, 0.191, 0.442), Tm at (0.100, 0.393, 0.619) and Tm at (0.202, 0.225, 0.815).

The volume is 31.77 Å³/atom. The calculation puts the formation energy at 1.20 eV per formula unit. As for the density of states at the Fermi level: 13.8 states/eV/f.u.



2.
Crystalline ZnCoRu2 at its relaxed geometry. Source: the Alexandria database, functional GGA-PBE.

It has space group F-43m (No. 216), with a = 5.989 Å, b = 5.989 Å, c = 5.989 Å, α = 90.00°, β = 90.00° and γ = 90.00°. The asymmetric unit holds Zn at (0.000, 0.000, 0.000), Co at (0.250, 0.250, 0.250), Ru at (0.000, 0.000, 0.500) and Ru at (0.250, 0.250, 0.750).

The volume is 13.42 Å³/atom. The calculation puts the formation energy at 0.91 eV per formula unit. As for the density of states at the Fermi level: 4.4 states/eV/f.u.



3.
Crystalline Tm2MgAg at its relaxed geometry. Source: the Alexandria database, functional GGA-PBE.

It has space group Fm-3m (No. 225), with a = 7.328 Å, b = 7.328 Å, c = 7.328 Å, α = 90.00°, β = 90.00° and γ = 90.00°. The asymmetric unit holds Tm at (0.250, 0.250, 0.250), Mg at (0.000, 0.000, 0.000) and Ag at (0.000, 0.000, 0.500).

The volume is 24.59 Å³/atom. The calculation puts the formation energy at -0.58 eV per formula unit. Its energy above the lowest structure with this stoichiometry is 0.040 eV/atom. As for the density of states at the Fermi level: 4.3 states/eV/f.u.



4.
Crystalline HfTcNi at its relaxed geometry. Source: the Alexandria database, functional GGA-PBE.

It has space group Cmcm (No. 63), with a = 3.401 Å, b = 12.698 Å, c = 4.246 Å, α = 90.00°, β = 90.00° and γ = 90.00°. The asymmetric unit holds Hf at (0.000, 0.094, 0.250), Tc at (0.000, 0.406, 0.250) and Ni at (0.000, 0.246, 0.750).

The volume is 15.28 Å³/atom. The calculation puts the formation energy at -0.87 eV per formula unit. Its energy above the lowest structure with this stoichiometry is 0.055 eV/atom. As for the density of states at the Fermi level: 2.5 states/eV/f.u.



5.
Crystalline Tm5Pt4Au at its relaxed geometry. Source: the Alexandria database, functional GGA-PBE.

It has space group P4/mmm (No. 123), with a = 3.469 Å, b = 3.469 Å, c = 17.366 Å, α = 90.00°, β = 90.00° and γ = 90.00°. The asymmetric unit holds Tm at (0.000, 0.000, 0.000), Tm at (0.000, 0.000, 0.197), Tm at (0.000, 0.000, 0.394), Pt at (0.500, 0.500, 0.099), Pt at (0.500, 0.500, 0.297) and Au at (0.500, 0.500, 0.500).

The volume is 20.89 Å³/atom. The calculation puts the formation energy at -12.06 eV per formula unit. As for the density of states at the Fermi level: 5.5 states/eV/f.u.



6.
Crystalline Pm5Nd2Er2 at its relaxed geometry. Source: the Alexandria database, functional GGA-PBE.

It has space group Ima2 (No. 46), with a = 14.979 Å, b = 11.950 Å, c = 6.848 Å, α = 90.00°, β = 90.00° and γ = 90.00°. The asymmetric unit holds Pm at (0.053, 0.249, 0.000), Pm at (0.143, 0.735, 0.669), Pm at (0.250, 0.242, 0.700), Nd at (0.126, 0.503, 0.349), Er at (0.000, 0.000, 0.320) and Er at (0.250, 0.509, 0.890).

The volume is 34.05 Å³/atom. The calculation puts the formation energy at 1.86 eV per formula unit. Its energy above the lowest structure with this stoichiometry is 0.190 eV/atom. As for the density of states at the Fermi level: 13.4 states/eV/f.u.



7.
Crystalline K2Pu2MnS6 at its relaxed geometry. Source: the Alexandria database, functional GGA-PBE.

It has space group C2/m (No. 12), with a = 6.722 Å, b = 11.784 Å, c = 7.830 Å, α = 90.00°, β = 106.25° and γ = 90.00°. The asymmetric unit holds K at (0.000, 0.164, 0.000), Pu at (0.000, 0.334, 0.500), Mn at (0.000, 0.000, 0.500), S at (0.229, 0.167, 0.692) and S at (0.249, 0.500, 0.683).

The volume is 27.07 Å³/atom. As for the density of states at the Fermi level: 20.4 states/eV/f.u.



8.
Crystalline Ce3I7F at its relaxed geometry. Source: the Alexandria database, functional GGA-PBE.

It has space group P3m1 (No. 156), with a = 8.8527 Å, b = 8.8527 Å, c = 7.6258 Å, α = 90.00°, β = 90.00° and γ = 120.00°. The asymmetric unit holds Ce at (0.0182, 0.5091, 0.0000), I at (0.1647, 0.3294, 0.2532), I at (0.3339, 0.1669, 0.7642), I at (0.6667, 0.3333, 0.2386) and F at (0.3333, 0.6667, 0.9138).

The volume is 47.05 Å³/atom. As for the density of states at the Fermi level: 25.2 states/eV/f.u.



Calculated raw total energy in order - -0.327, -0.478, -0.257, -0.661, -0.455, -0.331, -0.525, -0.321 Ry/atom
Calculated density in order - 8.450, 10.096, 7.935, 12.140, 14.481, 7.304, 4.538, 4.260 g cm⁻³
Calculated size of the total moment in order - 0.00, 2.50, 0.00, 0.00, 0.00, 0.00, 3.73, 4.00 μB/f.u.